1.
AlRu2Au | GGA-PBEsol | optimized geometry

extended XYZ file:
```
4
Lattice="-3.2130 0.0773 1.9929 -1.6533 -2.3973 -2.5725 1.2108 -3.0569 2.0706" Properties=species:S:1:pos:R:3 pbc="T T T"
Au -1.6065 0.0386 0.9965
Ru 0.6054 -1.5285 1.0353
Ru -0.8267 -1.1986 -1.2863
Al -1.8278 -2.6885 0.7455
```

Output
V: 14.3 A^3/atom
N(E_F): 1.234 states/eV per atom
Formation enthalpy at 0 K: 0.087 eV per formula unit

2.
AlRu2Au | GGA-PBEsol | optimized geometry

extended XYZ file:
```
4
Lattice="-1.6935 -1.6129 1.5808 1.0411 -3.6697 -2.6196 4.3222 3.2825 2.9248" Properties=species:S:1:pos:R:3 pbc="T T T"
Ru 2.1611 1.6412 1.4624
Ru 1.8349 -1.0001 0.9430
Au -0.8468 -0.8065 0.7904
Al 0.5206 -1.8349 -1.3098
```

Output
V: 14.3 A^3/atom
N(E_F): 1.120 states/eV per atom
Formation enthalpy at 0 K: -0.035 eV per formula unit

3.
AlRuAu2 | GGA-PBEsol | optimized geometry

extended XYZ file:
```
4
Lattice="2.7973 0.0000 0.0000 0.0000 3.8334 0.0000 0.0000 0.0000 5.7058" Properties=species:S:1:pos:R:3 pbc="T T T"
Au 0.0000 0.0000 1.4487
Au 0.0000 0.0000 4.2571
Al 1.3987 1.9167 2.8529
Ru 1.3987 1.9167 0.0000
```

Output
V: 15.3 A^3/atom
N(E_F): 0.705 states/eV per atom
Formation enthalpy at 0 K: 0.184 eV per formula unit

4.
AlRuAu2 | GGA-PBEsol | optimized geometry

extended XYZ file:
```
4
Lattice="2.8741 0.0000 0.0419 0.0000 4.1155 0.0000 -1.2907 0.0000 5.2003" Properties=species:S:1:pos:R:3 pbc="T T T"
Ru 1.4370 2.0578 0.0210
Au 1.6223 0.0000 3.9017
Au -0.0389 0.0000 1.3405
Al 0.7917 2.0578 2.6211
```

Output
V: 15.4 A^3/atom
N(E_F): 0.828 states/eV per atom
Formation enthalpy at 0 K: 0.188 eV per formula unit

5.
AlRu2Au | GGA-PBEsol | optimized geometry

extended XYZ file:
```
4
Lattice="-0.8257 -0.2842 2.8729 3.0805 -3.0651 0.5822 1.7176 4.7470 -0.6060" Properties=species:S:1:pos:R:3 pbc="T T T"
Ru 0.0507 0.0548 0.0200
Ru 1.0733 1.4628 2.0224
Al 2.8210 3.0464 1.1121
Au 2.8724 -0.0939 0.8163
```

Output
V: 14.3 A^3/atom
N(E_F): 0.878 states/eV per atom
Formation enthalpy at 0 K: 0.022 eV per formula unit

6.
AlRuAu2 | GGA-PBEsol | optimized geometry

extended XYZ file:
```
4
Lattice="-1.6227 -2.5310 -0.6945 3.6294 -2.4178 0.3312 -1.8518 1.8099 4.5858" Properties=species:S:1:pos:R:3 pbc="T T T"
Au 0.5443 -2.8341 2.2016
Au -0.3894 -0.3048 2.0209
Al -0.8114 -1.2655 -0.3472
Ru 1.8147 -1.2089 0.1656
```

Output
V: 15.3 A^3/atom
N(E_F): 0.679 states/eV per atom
Formation enthalpy at 0 K: -0.092 eV per formula unit

7.
AlRuAu | GGA-PBEsol | optimized geometry

extended XYZ file:
```
3
Lattice="-2.9076 0.8601 2.7511 -3.6225 -1.8986 -0.1884 -1.0112 -2.7673 2.8430" Properties=species:S:1:pos:R:3 pbc="T T T"
Al -1.8853 -0.9514 1.3514
Ru -3.7707 -1.9029 2.7028
Au 0.0000 0.0000 0.0000
```

Output
V: 16.2 A^3/atom
N(E_F): 0.577 states/eV per atom
Formation enthalpy at 0 K: 0.001 eV per formula unit

8.
AlAu2S | GGA-PBEsol | optimized geometry

extended XYZ file:
```
4
Lattice="-4.3654 1.2595 -0.2931 -3.2633 -2.6885 1.6888 -2.2656 1.2484 3.7467" Properties=species:S:1:pos:R:3 pbc="T T T"
S -4.9472 -0.0903 2.5712
Al 0.0000 0.0000 0.0000
Au -2.4736 -0.0451 1.2856
Au -7.4208 -0.1354 3.8568
```

Output
V: 16.7 A^3/atom
N(E_F): 0.747 states/eV per atom
Energy relative to the elements, uncorrected: 0.68 eV per formula unit

9.
AlTc2AuS | GGA-PBEsol | optimized geometry

extended XYZ file:
```
5
Lattice="4.5312 0.0000 0.0000 0.0000 4.9896 0.0000 0.0000 0.0000 4.9896" Properties=species:S:1:pos:R:3 pbc="T T T"
Tc 0.0000 0.0000 2.4948
Tc 0.0000 2.4948 0.0000
S 2.2656 0.0000 0.0000
Al 2.2656 2.4948 2.4948
Au 0.0000 0.0000 0.0000
```

Output
V: 22.6 A^3/atom
N(E_F): 1.146 states/eV per atom
Energy relative to the elements, uncorrected: 9.50 eV per formula unit

10.
Al2SbAu | GGA-PBEsol | optimized geometry

extended XYZ file:
```
8
Lattice="-3.3877 -3.8191 -4.0080 0.1304 -1.3768 6.4569 -5.3279 0.9722 3.5769" Properties=species:S:1:pos:R:3 pbc="T T T"
Al -4.9083 -0.5700 7.5653
Al -1.7792 -1.6776 0.4747
Al -6.3861 -3.0556 0.4265
Al -4.0967 -3.1443 3.5853
Au -6.4715 -2.8236 2.9052
Au 0.0000 0.0000 0.0000
Sb -2.1137 -1.4001 3.1207
Sb -4.3578 -1.4235 -0.2155
```

Output
V: 25.0 A^3/atom
N(E_F): 0.371 states/eV per atom
Energy relative to the elements, uncorrected: 0.31 eV per formula unit

11.
AlSb3Au | GGA-PBEsol | optimized geometry

extended XYZ file:
```
5
Lattice="5.1223 0.0000 0.0000 0.0000 5.1223 0.0000 0.0000 0.0000 5.1223" Properties=species:S:1:pos:R:3 pbc="T T T"
Au 2.5611 2.5611 2.5611
Al 0.0000 0.0000 0.0000
Sb 0.0000 0.0000 2.5611
Sb 2.5611 0.0000 0.0000
Sb 0.0000 2.5611 0.0000
```

Output
V: 26.9 A^3/atom
N(E_F): 0.792 states/eV per atom
Energy relative to the elements, uncorrected: 3.74 eV per formula unit

12.
Al2SbAu | GGA-PBEsol | optimized geometry

extended XYZ file:
```
4
Lattice="3.5697 0.0000 0.0000 0.0000 4.7009 0.0567 0.0000 -1.1081 4.5688" Properties=species:S:1:pos:R:3 pbc="T T T"
Sb 1.7848 1.7964 2.3127
Au 1.7848 0.0000 0.0000
Al 0.0000 2.3505 0.0283
Al 0.0000 -0.5540 2.2844
```

Output
V: 19.2 A^3/atom
N(E_F): 0.537 states/eV per atom
Energy relative to the elements, uncorrected: 0.28 eV per formula unit

13.
Al2SbAu | GGA-PBEsol | optimized geometry

extended XYZ file:
```
4
Lattice="-0.0353 -1.8557 -2.4798 2.0731 -1.8566 1.3599 -5.9288 -4.2362 3.2544" Properties=species:S:1:pos:R:3 pbc="T T T"
Al -0.1942 -0.1387 0.1066
Al -0.5348 -2.9663 0.2929
Sb -3.4284 -5.0338 1.8812
Au -2.6980 -1.9278 1.4810
```

Output
V: 19.1 A^3/atom
N(E_F): 0.332 states/eV per atom
Energy relative to the elements, uncorrected: 0.04 eV per formula unit

14.
AlSbAu2 | GGA-PBEsol | optimized geometry

extended XYZ file:
```
4
Lattice="4.2390 0.0000 0.0000 0.0000 4.4000 0.0073 0.0000 -0.6560 4.3508" Properties=species:S:1:pos:R:3 pbc="T T T"
Sb 2.1195 1.8720 2.1790
Au 0.0000 0.4444 3.4054
Au 0.0000 3.2995 0.9526
Al 2.1195 0.0000 0.0000
```

Output
V: 20.3 A^3/atom
N(E_F): 0.406 states/eV per atom
Energy relative to the elements, uncorrected: -0.33 eV per formula unit
Energy above the lowest structure with this stoichiometry: 0.101 eV per atom

15.
AlSbAu2 | GGA-PBEsol | optimized geometry

extended XYZ file:
```
4
Lattice="3.2766 0.0000 0.0000 1.6383 2.8376 0.0000 1.6383 0.9459 8.2660" Properties=species:S:1:pos:R:3 pbc="T T T"
Sb 3.2766 1.8918 4.1330
Au 4.9149 2.8376 6.4769
Au 1.6383 0.9459 1.7891
Al 0.0000 0.0000 0.0000
```

Output
V: 19.2 A^3/atom
N(E_F): 0.393 states/eV per atom
Energy relative to the elements, uncorrected: -0.63 eV per formula unit
Energy above the lowest structure with this stoichiometry: 0.025 eV per atom

16.
Al3SbAu | GGA-PBEsol | optimized geometry

extended XYZ file:
```
5
Lattice="4.8377 0.0000 0.0000 0.0000 4.8377 0.0000 0.0000 0.0000 4.8377" Properties=species:S:1:pos:R:3 pbc="T T T"
Al 0.0000 2.4188 0.0000
Al 0.0000 0.0000 2.4188
Al 2.4188 0.0000 0.0000
Au 0.0000 0.0000 0.0000
Sb 2.4188 2.4188 2.4188
```

Output
V: 22.6 A^3/atom
N(E_F): 0.658 states/eV per atom
Energy relative to the elements, uncorrected: 0.82 eV per formula unit

17.
AlSbAu2 | GGA-PBEsol | optimized geometry

extended XYZ file:
```
4
Lattice="3.3599 0.0000 0.0000 -1.6800 3.9917 0.0170 0.0000 -1.4165 5.7847" Properties=species:S:1:pos:R:3 pbc="T T T"
Al 0.0000 -0.7083 2.8923
Au 0.0000 1.6732 1.7142
Au 1.6800 0.9020 4.0874
Sb 1.6800 0.0000 0.0000
```

Output
V: 19.4 A^3/atom
N(E_F): 0.395 states/eV per atom
Energy relative to the elements, uncorrected: -0.73 eV per formula unit
Energy above the lowest structure with this stoichiometry: 0.000 eV per atom

18.
AlSbAu2 | GGA-PBEsol | optimized geometry

extended XYZ file:
```
4
Lattice="-1.7791 1.6668 -3.4873 0.4392 -4.7451 -2.4921 -2.4576 0.6379 4.1545" Properties=species:S:1:pos:R:3 pbc="T T T"
Au -2.4527 -2.0529 -2.3257
Au -1.3448 -0.3875 0.5009
Al -0.8896 0.8334 -1.7436
Sb 0.2196 -2.3726 -1.2461
```

Output
V: 19.8 A^3/atom
N(E_F): 0.382 states/eV per atom
Energy relative to the elements, uncorrected: -0.03 eV per formula unit
Energy above the lowest structure with this stoichiometry: 0.175 eV per atom

19.
Al2SbAu | GGA-PBEsol | optimized geometry

extended XYZ file:
```
4
Lattice="3.8008 0.0000 0.0000 0.0000 4.4987 0.0000 0.0000 0.0000 4.4987" Properties=species:S:1:pos:R:3 pbc="T T T"
Sb 1.9004 0.0000 0.0000
Al 0.0000 0.0000 2.2494
Al 0.0000 2.2494 0.0000
Au 1.9004 2.2494 2.2494
```

Output
V: 19.2 A^3/atom
N(E_F): 0.429 states/eV per atom
Energy relative to the elements, uncorrected: 0.29 eV per formula unit

20.
TaAlSbAu2 | GGA-PBEsol | optimized geometry

extended XYZ file:
```
5
Lattice="5.1053 0.0000 0.0000 0.0000 5.1053 0.0000 0.0000 0.0000 5.2194" Properties=species:S:1:pos:R:3 pbc="T T T"
Au 2.5527 0.0000 0.0000
Au 0.0000 2.5527 0.0000
Sb 0.0000 0.0000 2.6097
Ta 0.0000 0.0000 0.0000
Al 2.5527 2.5527 2.6097
```

Output
V: 27.2 A^3/atom
N(E_F): 0.714 states/eV per atom
Energy relative to the elements, uncorrected: 4.28 eV per formula unit

21.
ScAl2Au | GGA-PBEsol | optimized geometry

extended XYZ file:
```
4
Lattice="-2.1993 0.7676 -2.0463 -0.4891 -4.6574 -1.2213 -1.9506 1.4092 4.9955" Properties=species:S:1:pos:R:3 pbc="T T T"
Al -2.8659 -2.1927 -0.0799
Al -1.7731 -0.2879 1.8078
Sc -1.0997 0.3838 -1.0232
Au -0.2445 -2.3287 -0.6107
```

Output
V: 17.8 A^3/atom
N(E_F): 0.632 states/eV per atom
Formation enthalpy at 0 K: -1.550 eV per formula unit

22.
Sc2AlAu | GGA-PBEsol | optimized geometry

extended XYZ file:
```
4
Lattice="-0.3320 2.7131 -2.9994 2.5485 -2.1965 -2.2690 -4.6246 -2.5753 0.9276" Properties=species:S:1:pos:R:3 pbc="T T T"
Au -0.4840 -2.2567 -1.9878
Sc -1.9242 0.1981 -2.3530
Sc 0.0000 0.0000 0.0000
Al 1.1082 0.2583 -2.6342
```

Output
V: 18.7 A^3/atom
N(E_F): 1.026 states/eV per atom
Formation enthalpy at 0 K: -1.972 eV per formula unit

23.
ScAl2Au | GGA-PBEsol | optimized geometry

extended XYZ file:
```
4
Lattice="4.0399 0.0000 0.0000 0.0000 4.0903 0.0000 0.0000 0.0000 4.0903" Properties=species:S:1:pos:R:3 pbc="T T T"
Au 2.0199 2.0452 2.0452
Al 0.0000 2.0452 0.0000
Al 0.0000 0.0000 2.0452
Sc 2.0199 0.0000 0.0000
```

Output
V: 16.9 A^3/atom
N(E_F): 0.316 states/eV per atom
Formation enthalpy at 0 K: -2.416 eV per formula unit

24.
Sc2AlAu | GGA-PBEsol | optimized geometry

extended XYZ file:
```
4
Lattice="3.3760 0.0000 0.0000 0.0000 4.3482 0.0000 -1.6880 0.0000 5.3181" Properties=species:S:1:pos:R:3 pbc="T T T"
Sc 0.0000 2.1741 4.3298
Sc 0.0000 0.0000 1.0090
Au 1.6880 2.1741 1.8683
Al 1.6880 0.0000 3.4326
```

Output
V: 19.5 A^3/atom
N(E_F): 0.775 states/eV per atom
Formation enthalpy at 0 K: -2.491 eV per formula unit

25.
Sc2AlAu | GGA-PBEsol | optimized geometry

extended XYZ file:
```
4
Lattice="4.6877 0.0000 0.0000 2.3439 4.0597 0.0000 2.3439 1.3532 3.8275" Properties=species:S:1:pos:R:3 pbc="T T T"
Sc 0.0000 0.0000 0.0000
Sc 2.3439 1.3532 0.9569
Au 7.0316 4.0597 2.8706
Al 4.6877 2.7065 1.9138
```

Output
V: 18.2 A^3/atom
N(E_F): 1.347 states/eV per atom
Formation enthalpy at 0 K: -1.350 eV per formula unit

26.
Sc2AlAu | GGA-PBEsol | optimized geometry

extended XYZ file:
```
4
Lattice="3.3625 0.0000 0.0000 0.0000 4.7535 0.0400 0.0000 -0.4776 4.7296" Properties=species:S:1:pos:R:3 pbc="T T T"
Al 1.6812 0.0000 0.0000
Au 1.6812 2.1380 2.3848
Sc 0.0000 2.3768 0.0200
Sc 0.0000 -0.2388 2.3648
```

Output
V: 18.9 A^3/atom
N(E_F): 0.689 states/eV per atom
Formation enthalpy at 0 K: -2.451 eV per formula unit

27.
ScAl2Au | GGA-PBEsol | optimized geometry

extended XYZ file:
```
4
Lattice="4.0252 0.0000 0.0000 0.0000 4.0252 0.0000 -2.0126 -2.0126 4.4078" Properties=species:S:1:pos:R:3 pbc="T T T"
Sc 0.0000 0.0000 0.0000
Al 2.0126 0.0000 2.2039
Al 0.0000 2.0126 2.2039
Au 2.0126 2.0126 0.0000
```

Output
V: 17.9 A^3/atom
N(E_F): 0.852 states/eV per atom
Formation enthalpy at 0 K: -1.316 eV per formula unit

28.
Sc2AlAu | GGA-PBEsol | optimized geometry

extended XYZ file:
```
4
Lattice="-0.8545 0.8978 -3.1975 -3.3002 0.1404 0.9214 0.6942 6.1689 1.5465" Properties=species:S:1:pos:R:3 pbc="T T T"
Sc 0.5181 4.6039 1.1542
Sc 0.1761 1.5650 0.3923
Au -1.7303 3.6035 -0.3648
Al -2.0774 0.5191 -1.1381
```

Output
V: 18.8 A^3/atom
N(E_F): 0.758 states/eV per atom
Formation enthalpy at 0 K: -2.510 eV per formula unit

29.
ScAlAu2 | GGA-PBEsol | optimized geometry

extended XYZ file:
```
4
Lattice="-0.6754 -2.8589 -1.0447 4.4657 -0.8004 -0.6965 0.4157 -1.8395 4.7795" Properties=species:S:1:pos:R:3 pbc="T T T"
Al 2.5532 -1.8240 3.3421
Sc -0.1417 -2.2954 1.7295
Au 0.4038 -1.7892 4.6455
Au 1.6766 -3.7790 -0.0318
```

Output
V: 18.4 A^3/atom
N(E_F): 0.480 states/eV per atom
Formation enthalpy at 0 K: -2.305 eV per formula unit

30.
Sc2Al2Au | GGA-PBEsol | optimized geometry

extended XYZ file:
```
10
Lattice="4.3190 0.0000 0.0000 0.0000 6.5883 0.0000 0.0000 0.0000 6.5883" Properties=species:S:1:pos:R:3 pbc="T T T"
Al 0.0000 4.1974 0.9032
Al 0.0000 2.3910 5.6851
Al 0.0000 5.6851 4.1974
Al 0.0000 0.9032 2.3910
Sc 2.1595 4.3920 5.4905
Sc 2.1595 5.4905 2.1963
Sc 2.1595 1.0978 4.3920
Sc 2.1595 2.1963 1.0978
Au 0.0000 0.0000 0.0000
Au 0.0000 3.2942 3.2942
```

Output
V: 18.7 A^3/atom
N(E_F): 0.740 states/eV per atom
Formation enthalpy at 0 K: -3.002 eV per formula unit